(1)
This record from the Alexandria database describes an optimized crystal structure of Pr3U5O12. The functional is PBE.

Structure (POSCAR):
```
Pr3U5O12
1.0
-3.5344 -8.3984 -7.7582
10.4272 -3.2330 4.9027
-8.2411 1.2155 8.5919
O U Pr
48 20 12
Direct
0.6294 0.0411 0.2144 O
0.2856 0.4150 0.8268 O
0.7856 0.4589 0.3706 O
0.5850 0.8706 0.4117 O
0.4589 0.7856 0.8706 O
0.1294 0.4150 0.0883 O
0.8706 0.5850 0.9117 O
0.7144 0.5850 0.1732 O
0.6732 0.4589 0.5883 O
0.4150 0.2856 0.3268 O
0.0883 0.1732 0.4589 O
0.3268 0.5411 0.4117 O
0.4150 0.1294 0.5883 O
0.0411 0.4117 0.8268 O
0.0850 0.9117 0.3706 O
0.7856 0.3268 0.9150 O
0.5883 0.6294 0.4150 O
0.9117 0.0850 0.8706 O
0.9117 0.8268 0.5411 O
0.5883 0.9589 0.6732 O
0.6732 0.2144 0.5850 O
0.1732 0.0850 0.7144 O
0.9589 0.3706 0.2856 O
0.9150 0.0883 0.6294 O
0.3706 0.4117 0.0850 O
0.9150 0.8268 0.7856 O
0.0883 0.9150 0.1294 O
0.4589 0.6732 0.0883 O
0.8268 0.9117 0.0411 O
0.2144 0.6732 0.0850 O
0.2144 0.5411 0.6294 O
0.5850 0.7144 0.6732 O
0.3268 0.7856 0.4150 O
0.5411 0.2144 0.1294 O
0.9589 0.5883 0.1732 O
0.8706 0.2856 0.4589 O
0.0850 0.1732 0.2144 O
0.0411 0.6294 0.7144 O
0.5411 0.3268 0.9117 O
0.7144 0.1294 0.0411 O
0.3706 0.9589 0.7856 O
0.1732 0.0883 0.9589 O
0.6294 0.5883 0.9150 O
0.4117 0.3706 0.5850 O
0.8268 0.9150 0.2856 O
0.2856 0.8706 0.9589 O
0.4117 0.0411 0.3268 O
0.1294 0.7144 0.5411 O
0.6250 0.8750 0.2500 U
0.5000 0.0000 0.5000 U
0.3750 0.1250 0.7500 U
0.0000 0.0000 0.5000 U
0.0000 0.5000 0.5000 U
0.1250 0.3750 0.2500 U
0.5000 0.0000 0.0000 U
0.2500 0.8750 0.1250 U
0.8750 0.6250 0.7500 U
0.3750 0.2500 0.1250 U
0.7500 0.1250 0.8750 U
0.7500 0.6250 0.3750 U
0.8750 0.2500 0.6250 U
0.1250 0.7500 0.3750 U
0.0000 0.5000 0.0000 U
0.5000 0.5000 0.0000 U
0.2500 0.3750 0.6250 U
0.6250 0.7500 0.8750 U
0.0000 0.0000 0.0000 U
0.5000 0.5000 0.5000 U
0.2500 0.1250 0.3750 Pr
0.2500 0.6250 0.8750 Pr
0.7500 0.8750 0.6250 Pr
0.1250 0.8750 0.7500 Pr
0.6250 0.2500 0.3750 Pr
0.1250 0.2500 0.8750 Pr
0.6250 0.3750 0.7500 Pr
0.3750 0.6250 0.2500 Pr
0.7500 0.3750 0.1250 Pr
0.8750 0.1250 0.2500 Pr
0.8750 0.7500 0.1250 Pr
0.3750 0.7500 0.6250 Pr
```

Properties
D(E_F) (states/eV/f.u.): 25.3
Final energy (eV per cell): -753.2
Space group: No. 230
Total magnetic moment (μB/cell): 40.941

(2)
This record from the Alexandria database describes an optimized crystal structure of Ca4CrAu. The functional is PBE.

Structure (POSCAR):
```
Ca4CrAu
1.0
5.9274 -2.5250 -0.5842
0.9435 -6.3142 1.0450
1.3682 -3.9295 -4.9537
Ca Au Cr
4 1 1
Direct
0.3748 0.3748 0.3748 Ca
0.3748 0.3748 0.8756 Ca
0.8756 0.3748 0.3748 Ca
0.3748 0.8756 0.3748 Ca
0.0000 0.0000 0.0000 Au
0.7500 0.7500 0.7500 Cr
```

Properties
Formation energy (eV/atom): 0.624
D(E_F) (states/eV/f.u.): 6.6
Final energy (eV per cell): -17.2
Space group: No. 216
Total magnetic moment (μB/cell): 5.203

(3)
This record from the Alexandria database describes an optimized crystal structure of SbMoP. The functional is PBE.

Structure (POSCAR):
```
SbMoP
1.0
6.6109 0.0000 0.0000
0.0000 6.4555 -1.1641
0.0000 -2.8682 6.0572
P Sb Mo
4 4 4
Direct
0.8614 0.6647 0.3709 P
0.1386 0.3353 0.6291 P
0.6386 0.6647 0.8709 P
0.3614 0.3353 0.1291 P
0.6340 0.1692 0.3248 Sb
0.1340 0.8308 0.1752 Sb
0.8660 0.1692 0.8248 Sb
0.3660 0.8308 0.6752 Sb
0.4747 0.2847 0.7546 Mo
0.9747 0.7153 0.7454 Mo
0.5253 0.7153 0.2454 Mo
0.0253 0.2847 0.2546 Mo
```

Properties
Distance to the lowest polymorph of the same formula (eV/atom): 0.058
D(E_F) (states/eV/f.u.): 2.1
Final energy (eV per cell): -81.6
Space group: No. 14
Total magnetic moment (μB/cell): 0.000

(4)
This record from the Alexandria database describes an optimized crystal structure of CdS2I. The functional is PBE.

Structure (POSCAR):
```
CdS2I
1.0
2.1924 0.0000 8.9036
-1.0962 1.8986 8.9036
-1.0962 -1.8986 8.9036
S I Cd
2 1 1
Direct
0.9105 0.9105 0.9105 S
0.0895 0.0895 0.0895 S
0.5000 0.5000 0.5000 I
0.0000 0.0000 0.0000 Cd
```

Properties
Distance to the lowest polymorph of the same formula (eV/atom): 0.638
D(E_F) (states/eV/f.u.): 3.0
Final energy (eV per cell): -8.4
Space group: No. 166
Total magnetic moment (μB/cell): 0.000

(5)
This record from the Alexandria database describes an optimized crystal structure of Be2SeBr. The functional is PBE.

Structure (POSCAR):
```
Be2SeBr
1.0
-0.7431 1.6603 4.0802
-2.0645 -1.6804 3.5876
5.9261 -2.5534 1.4201
Br Se Be
1 1 2
Direct
0.5474 0.5474 0.6410 Br
0.2010 0.2010 0.0889 Se
0.0045 0.0045 0.8439 Be
0.7472 0.7472 0.9262 Be
```

Properties
Distance to the lowest polymorph of the same formula (eV/atom): 0.000
D(E_F) (states/eV/f.u.): 0.6
Final energy (eV per cell): -13.8
Space group: No. 8
Total magnetic moment (μB/cell): 0.000

(6)
This record from the Alexandria database describes an optimized crystal structure of Tb2MnI8. The functional is PBE.

Structure (POSCAR):
```
Tb2MnI8
1.0
4.0019 0.0000 -0.8501
-0.0119 11.1606 -0.0558
0.2567 0.6734 11.0533
Tb I Mn
2 8 1
Direct
0.8499 0.2576 0.6998 Tb
0.1501 0.7424 0.3002 Tb
0.4026 0.4291 0.8052 I
0.9984 0.8192 0.9968 I
0.0016 0.1808 0.0032 I
0.5974 0.5709 0.1948 I
0.7572 0.7057 0.5143 I
0.3655 0.0398 0.7310 I
0.2428 0.2943 0.4857 I
0.6345 0.9602 0.2690 I
0.5000 0.0000 0.0000 Mn
```

Properties
Final energy (eV per cell): -43.0
Space group: No. 12
Total magnetic moment (μB/cell): 5.000

(7)
This record from the Alexandria database describes an optimized crystal structure of AcHo4Er3. The functional is PBE.

Structure (POSCAR):
```
AcHo4Er3
1.0
3.0634 -0.9492 1.4803
-0.2416 8.6804 1.8552
0.6400 -2.1852 9.9290
Er Ho Ac
3 4 1
Direct
0.0000 0.5000 0.5000 Er
0.2623 0.7375 0.7375 Er
0.7377 0.2625 0.2625 Er
0.3429 0.8781 0.3976 Ho
0.6183 0.6023 0.1219 Ho
0.6571 0.1219 0.6024 Ho
0.3817 0.3977 0.8781 Ho
0.5000 0.0000 0.0000 Ac
```

Properties
Formation energy (eV/atom): 0.128
D(E_F) (states/eV/f.u.): 14.7
Final energy (eV per cell): -35.1
Space group: No. 71
Total magnetic moment (μB/cell): 0.000

(8)
This record from the Alexandria database describes an optimized crystal structure of PaGa3Co. The functional is PBE.

Structure (POSCAR):
```
PaGa3Co
1.0
5.9029 -0.0006 0.0000
0.0001 4.9539 -0.0007
0.0002 0.0009 6.4019
Ga Pa Co
6 2 2
Direct
0.3475 0.2832 0.2008 Ga
0.4816 0.8024 0.4345 Ga
0.9817 0.5504 0.4670 Ga
0.4817 0.8024 0.9670 Ga
0.9817 0.5504 0.9345 Ga
0.8476 0.0695 0.7008 Ga
0.8624 0.0739 0.2008 Pa
0.3624 0.2789 0.7008 Pa
0.7048 0.5343 0.2008 Co
0.2048 0.8185 0.7008 Co
```

Properties
Formation energy (eV/atom): -0.319
Distance to the lowest polymorph of the same formula (eV/atom): 0.071
D(E_F) (states/eV/f.u.): 4.0
Final energy (eV per cell): -54.6
Space group: No. 31
Total magnetic moment (μB/cell): 0.000

(9)
This record from the Alexandria database describes an optimized crystal structure of Cd3Ag7Au2. The functional is PBE.

Structure (POSCAR):
```
Cd3Ag7Au2
1.0
-1.9574 -0.7752 -2.2303
3.7541 -2.0417 -2.6211
-0.4280 -14.7258 3.3654
Cd Ag Au
3 7 2
Direct
0.8302 0.0298 0.3335 Cd
0.1698 0.9702 0.6665 Cd
0.5000 0.5000 0.0000 Cd
0.0000 0.0000 0.0000 Ag
0.5833 0.9821 0.8352 Ag
0.0846 0.4813 0.8329 Ag
0.9154 0.5187 0.1671 Ag
0.2491 0.7477 0.5016 Ag
0.4168 0.0179 0.1648 Ag
0.7509 0.2523 0.4984 Ag
0.3302 0.5334 0.3330 Au
0.6698 0.4666 0.6670 Au
```

Properties
Formation energy (eV/atom): -0.055
Distance to the lowest polymorph of the same formula (eV/atom): 0.000
D(E_F) (states/eV/f.u.): 3.8
Final energy (eV per cell): -29.9
Space group: No. 2
Total magnetic moment (μB/cell): 0.000

(10)
This record from the Alexandria database describes an optimized crystal structure of SrCa2NpN4. The functional is PBE.

Structure (POSCAR):
```
SrCa2NpN4
1.0
-6.0542 -1.1935 -3.5362
1.9409 -6.7930 -0.8185
-0.2613 2.7425 6.4195
N Np Sr Ca
8 2 2 4
Direct
0.7929 0.1910 0.9920 N
0.6910 0.2929 0.4919 N
0.2541 0.2467 0.4800 N
0.2533 0.2459 0.0200 N
0.7467 0.7541 0.9800 N
0.7459 0.7533 0.5200 N
0.2071 0.8090 0.0081 N
0.3090 0.7071 0.5081 N
0.0000 0.0000 0.0000 Np
0.5000 0.5000 0.5000 Np
0.0000 0.5000 0.0000 Sr
0.0000 0.5000 0.5000 Sr
0.5000 0.0000 0.0000 Ca
0.5000 0.0000 0.5000 Ca
0.5000 0.5000 0.0000 Ca
0.0000 0.0000 0.5000 Ca
```

Properties
D(E_F) (states/eV/f.u.): 4.0
Final energy (eV per cell): -120.3
Space group: No. 74
Total magnetic moment (μB/cell): 2.000

(11)
This record from the Alexandria database describes an optimized crystal structure of PaTiGe2. The functional is PBE.

Structure (POSCAR):
```
PaTiGe2
1.0
3.9102 0.0000 0.0000
0.0000 7.7146 0.0000
0.0000 0.0000 10.5340
Ge Ti Pa
8 4 4
Direct
0.7500 0.7571 0.4501 Ge
0.7500 0.3441 0.6955 Ge
0.7500 0.2571 0.0499 Ge
0.2500 0.1559 0.1955 Ge
0.7500 0.8441 0.8045 Ge
0.2500 0.7429 0.9501 Ge
0.2500 0.6559 0.3045 Ge
0.2500 0.2429 0.5499 Ge
0.2500 0.4830 0.1004 Ti
0.2500 0.9830 0.3996 Ti
0.7500 0.5170 0.8996 Ti
0.7500 0.0170 0.6004 Ti
0.7500 0.8624 0.1436 Pa
0.7500 0.3624 0.3564 Pa
0.2500 0.1376 0.8564 Pa
0.2500 0.6376 0.6436 Pa
```

Properties
Formation energy (eV/atom): -0.472
Distance to the lowest polymorph of the same formula (eV/atom): 0.000
D(E_F) (states/eV/f.u.): 5.1
Final energy (eV per cell): -114.0
Space group: No. 62
Total magnetic moment (μB/cell): 0.001

(12)
This record from the Alexandria database describes an optimized crystal structure of KZrP2. The functional is PBE.

Structure (POSCAR):
```
KZrP2
1.0
6.5557 0.0000 0.0000
0.0000 6.5557 0.0000
3.2778 3.2778 6.7902
P Zr K
4 2 2
Direct
0.7551 0.1250 0.2500 P
0.3750 0.2449 0.7500 P
0.9949 0.6250 0.2500 P
0.8750 0.0051 0.7500 P
0.7500 0.2500 0.5000 Zr
0.0000 0.0000 0.0000 Zr
0.2500 0.7500 0.5000 K
0.5000 0.5000 0.0000 K
```

Properties
Formation energy (eV/atom): -0.328
Distance to the lowest polymorph of the same formula (eV/atom): 0.333
D(E_F) (states/eV/f.u.): 2.6
Final energy (eV per cell): -43.6
Space group: No. 122
Total magnetic moment (μB/cell): 0.000

Q: Which of these has the highest final energy?
A: CdS2I

Q: Number 10 is which compound?
A: SrCa2NpN4